Entry a
The following is a PBE calculation of a geometry-optimized CdCu2P structure, from Alexandria via LeMat-Bulk.

For the spin magnetization, the calculation gives 0.0 μB/f.u.

Lattice parameters (Å, degrees): 7.4703 2.8483 6.5649 90.00 108.13 90.00
Closest atoms and distances in Å follow each position.
Space group C2/m (No. 12)
Inequivalent atoms, fractional coordinates:
Cd  0.0000  0.0000  0.0000 (multiplicity 2)  4 Cu 2.73, 2 Cd 2.85
Cu  0.2406  0.5000  0.3268 (multiplicity 4)  3 P 2.39-2.41, 2 Cu 2.65
P  0.0000  0.5000  0.5000 (multiplicity 2)  6 Cu 2.39-2.41

Entry b
The following is a PBE calculation of a geometry-optimized CdCu2P structure, from Alexandria via LeMat-Bulk.

For the spin magnetization, the calculation gives 0.0 μB/f.u.

Lattice parameters (Å, degrees): 2.8657 3.8060 12.1649 90.00 90.00 90.00
Closest atoms and distances in Å follow each position.
Space group Imm2 (No. 44)
Inequivalent atoms, fractional coordinates:
Cd  0.0000  0.0000  0.0000 (multiplicity 2)  4 Cu 2.78, 2 Cd 2.87, 2 P 3.08
Cu  0.0000  0.0000  0.3825 (multiplicity 2)  2 P 2.40
Cu  0.0000  0.5000  0.2254 (multiplicity 2)  4 P 2.38
P  0.0000  0.5000  0.7243 (multiplicity 2)  6 Cu 2.38-2.40

Which one sits at the top of the stability order? entry b does.

Entry a
The following is a PBE calculation of a geometry-optimized CdCu3P structure, from Alexandria via LeMat-Bulk.

For the spin magnetization, the calculation gives 0.0 μB/f.u.

Lattice parameters (Å, degrees): 4.4205 4.4205 4.4205 90.00 90.00 90.00
Closest atoms and distances in Å follow each position.
Space group Pm-3m (No. 221)
Inequivalent atoms, fractional coordinates:
Cd  0.0000  0.0000  0.0000 (multiplicity 1)  12 Cu 3.13
Cu  0.0000  0.5000  0.5000 (multiplicity 3)  2 P 2.21
P  0.5000  0.5000  0.5000 (multiplicity 1)  6 Cu 2.21

Entry b
The following is a PBE calculation of a geometry-optimized CdCu3P structure, from Alexandria via LeMat-Bulk.

For the spin magnetization, the calculation gives 0.0 μB/f.u.

Lattice parameters (Å, degrees): 4.7196 4.7196 4.7196 90.00 90.00 90.00
Closest atoms and distances in Å follow each position.
Space group Pm-3m (No. 221)
Inequivalent atoms, fractional coordinates:
Cd  0.0000  0.0000  0.0000 (multiplicity 1)  6 Cu 2.36
Cu  0.0000  0.0000  0.5000 (multiplicity 3)  2 Cd 2.36
P  0.5000  0.5000  0.5000 (multiplicity 1)  12 Cu 3.34

Which one sits at the top of the stability order? entry a does.

Entry a
The following is a PBE calculation of a geometry-optimized Cd2Cu2P structure, from Alexandria via LeMat-Bulk.

For the spin magnetization, the calculation gives 0.0 μB/f.u.

Lattice parameters (Å, degrees): 6.2689 6.2689 4.3032 90.00 90.00 90.00
Closest atoms and distances in Å follow each position.
Space group P4/mbm (No. 127)
Inequivalent atoms, fractional coordinates:
Cd  0.1617  0.3383  0.0000 (multiplicity 4)  6 Cu 2.74-2.89, 1 Cd 2.87
Cu  0.1464  0.6464  0.5000 (multiplicity 4)  2 P 2.40, 1 Cu 2.60
P  0.0000  0.0000  0.5000 (multiplicity 2)  4 Cu 2.40

Entry b
The following is a PBE calculation of a geometry-optimized Cd2Cu2P structure, from Alexandria via LeMat-Bulk.

For the spin magnetization, the calculation gives 0.0 μB/f.u.

Lattice parameters (Å, degrees): 7.8758 7.8758 2.8335 90.00 90.00 90.00
Closest atoms and distances in Å follow each position.
Space group P4/mbm (No. 127)
Inequivalent atoms, fractional coordinates:
Cd  0.1838  0.3162  0.0000 (multiplicity 4)  6 Cu 2.69-2.78, 2 Cd 2.83, 2 P 2.88
Cu  0.1107  0.6107  0.5000 (multiplicity 4)  1 Cu 2.47, 2 Cd 2.69
P  0.0000  0.0000  0.0000 (multiplicity 2)  2 P 2.83, 4 Cd 2.88

Which one sits at the top of the stability order? entry a does.

Entry a
The following is a PBE calculation of a geometry-optimized PaCdCu2 structure, from Alexandria via LeMat-Bulk.

For the spin magnetization, the calculation gives 0.0 μB/f.u.

Lattice parameters (Å, degrees): 6.6666 6.6666 6.6666 90.00 90.00 90.00
Closest atoms and distances in Å follow each position.
Space group Fm-3m (No. 225)
Inequivalent atoms, fractional coordinates:
Pa  0.0000  0.0000  0.0000 (multiplicity 4)  8 Cu 2.89
Cd  0.0000  0.0000  0.5000 (multiplicity 4)  8 Cu 2.89
Cu  0.2500  0.2500  0.2500 (multiplicity 8)  4 Cd 2.89, 4 Pa 2.89

Entry b
The following is a PBE calculation of a geometry-optimized PaCdCu2 structure, from Alexandria via LeMat-Bulk.

For the spin magnetization, the calculation gives 0.0 μB/f.u.

Lattice parameters (Å, degrees): 3.1107 3.1107 7.3862 90.00 90.00 90.00
Closest atoms and distances in Å follow each position.
Space group P4/mmm (No. 123)
Inequivalent atoms, fractional coordinates:
Pa  0.0000  0.0000  0.0000 (multiplicity 1)  8 Cu 2.96, 4 Pa 3.11
Cd  0.0000  0.0000  0.5000 (multiplicity 1)  8 Cu 2.79, 4 Cd 3.11
Cu  0.5000  0.5000  0.2672 (multiplicity 2)  4 Cd 2.79, 4 Pa 2.96, 4 Cu 3.11

Which one sits at the top of the stability order? entry a does.

Entry a
The following is a PBE calculation of a geometry-optimized PaCdCu structure, from Alexandria via LeMat-Bulk.

For the spin magnetization, the calculation gives 0.5 μB/f.u.

Lattice parameters (Å, degrees): 4.7771 4.7771 3.1281 90.00 90.00 120.00
Closest atoms and distances in Å follow each position.
Space group P-6m2 (No. 187)
Inequivalent atoms, fractional coordinates:
Pa  0.0000  0.0000  0.0000 (multiplicity 1)  2 Pa 3.13, 6 Cu 3.17, 6 Cd 3.17
Cd  0.3333  0.6667  0.5000 (multiplicity 1)  3 Cu 2.76
Cu  0.6667  0.3333  0.5000 (multiplicity 1)  3 Cd 2.76

Entry b
The following is a PBE calculation of a geometry-optimized PaCdCu structure, from Alexandria via LeMat-Bulk.

For the spin magnetization, the calculation gives 0.0 μB/f.u.

Lattice parameters (Å, degrees): 3.5851 3.5851 9.4156 90.00 90.00 90.00
Closest atoms and distances in Å follow each position.
Space group P4/nmm (No. 129, origin choice 2)
Inequivalent atoms, fractional coordinates:
Pa  0.2500  0.2500  0.0751 (multiplicity 2)  4 Pa 2.90, 5 Cu 3.09-3.17, 1 Cd 3.17
Cd  0.2500  0.2500  0.4122 (multiplicity 2)  5 Cu 2.90-3.07, 4 Cd 3.03, 1 Pa 3.17
Cu  0.2500  0.2500  0.7381 (multiplicity 2)  5 Cd 2.90-3.07, 5 Pa 3.09-3.17

Which one sits at the top of the stability order? entry a does.